Record 1
## Cr3PtPb (PBE)

Data for Cr3PtPb after structural relaxation.

Lattice parameters (Å, degrees): 4.728 4.728 4.728 90.00 90.00 90.00
Positions (direct):
Pt 0.500 0.500 0.500
Cr 0.000 0.000 0.500
Cr 0.500 0.000 0.000
Cr 0.000 0.500 0.000
Pb 0.000 0.000 0.000

calculated formation energy = 2558 meV/atom
energy above the most stable polymorph in this dataset = 1609.0 meV/atom

=====

Record 2
## Na2SmPCO7 (PBE)

Data for Na2SmPCO7 after structural relaxation.

Lattice parameters (Å, degrees): 7.087 5.133 9.561 90.11 90.00 90.00
Positions (direct):
O 0.571 0.163 0.350
O 0.750 0.545 0.825
P 0.750 0.295 0.409
O 0.250 0.406 0.619
O 0.750 0.975 0.845
O 0.750 0.594 0.381
O 0.750 0.265 0.573
O 0.429 0.837 0.650
O 0.250 0.025 0.155
O 0.071 0.837 0.650
O 0.250 0.274 0.959
O 0.750 0.726 0.041
O 0.250 0.455 0.175
Na 0.012 0.243 0.798
Na 0.488 0.243 0.798
Na 0.512 0.757 0.202
C 0.250 0.250 0.090
Sm 0.250 0.226 0.386
Sm 0.750 0.774 0.614
O 0.250 0.735 0.427
P 0.250 0.705 0.591
O 0.929 0.163 0.350
Na 0.988 0.757 0.202
C 0.750 0.750 0.910

formation energy from raw total energies = -2.340 eV per atom

=====

| no. | Fermi-level density of states (states/eV per atom) | E (Ry/atom) |
| --- | --- | --- |
| 1 | 3.50 | -0.380 |
| 2 | 0.00 | -0.519 |